First-principles (SCAN) data for a PBEsol-optimized structure of LiTaBeRh2, as listed in Alexandria.

Computed properties:
Crystal system ... tetragonal
Symmetry ... P4/mmm
Magnetization ... 0.00 μB/cell
Energy of formation ... 0.928 eV per atom
Density ... 6.66 g/cm³

Lattice parameters (Å, degrees): 4.6470 4.6493 4.6493 90.00 90.00 90.00
Sites, in units of the cell vectors:
Li (0.5000, 0.5000, 0.5000)
Be (0.5000, 0.0000, 0.0000)
Ta (0.0000, 0.0000, 0.0000)
Rh (0.0000, 0.0000, 0.5000)
Rh (0.0000, 0.5000, 0.0000)

=====

First-principles (SCAN) data for a PBEsol-optimized structure of LaCo, as listed in Alexandria.

Computed properties:
Crystal system ... trigonal
Symmetry ... R-3m
Magnetization ... 1.41 μB/cell
Energy of formation ... 0.018 eV per atom
Density ... 6.94 g/cm³

Lattice parameters (Å, degrees): 3.9479 3.9479 7.3790 74.48 74.48 60.00
Last column: magnetic moment on the atom in μB.
Sites, in units of the cell vectors:
Co (0.3327, 0.3327, 0.0019)  0.35
Co (0.6673, 0.6673, 0.9981)  0.35
La (0.9128, 0.9128, 0.2615)  0.07
La (0.0872, 0.0872, 0.7385)  0.07

=====

First-principles (SCAN) data for a PBEsol-optimized structure of K5Zn4Sn5H4S17N, as listed in Alexandria.

Computed properties:
Crystal system ... tetragonal
Symmetry ... I-4m2
E ... -491.10 eV/cell
Magnetization ... 0.00 μB/cell
Density ... 3.00 g/cm³

Lattice parameters (Å, degrees): 9.3651 10.8315 10.8315 79.23 64.39 64.39
Sites, in units of the cell vectors:
Sn (0.7277, 0.2238, 0.7762)
Sn (0.7277, 0.7762, 0.2238)
Sn (0.0485, 0.2238, 0.2238)
Sn (0.4961, 0.7762, 0.7762)
Sn (0.7500, 0.5000, 0.5000)
S (0.5000, 0.0000, 0.0000)
S (0.7942, 0.7175, 0.7175)
S (0.4567, 0.6415, 0.6415)
S (0.3498, 0.7211, 0.0069)
S (0.6433, 0.2789, 0.0069)
S (0.0778, 0.2789, 0.9931)
S (0.7397, 0.3585, 0.3585)
S (0.9292, 0.7211, 0.9931)
S (0.0778, 0.9931, 0.2789)
S (0.6433, 0.0069, 0.2789)
S (0.2292, 0.2825, 0.2825)
S (0.9292, 0.9931, 0.7211)
S (0.9018, 0.3585, 0.6415)
S (0.9018, 0.6415, 0.3585)
S (0.4883, 0.2825, 0.7175)
S (0.3498, 0.0069, 0.7211)
S (0.4883, 0.7175, 0.2825)
K (0.2634, 0.0000, 0.4731)
K (0.7366, 0.0000, 0.5269)
K (0.2634, 0.4731, 0.0000)
K (0.0000, 0.0000, 0.0000)
K (0.7366, 0.5269, 0.0000)
Zn (0.3596, 0.1382, 0.8618)
Zn (0.5022, 0.1382, 0.1382)
Zn (0.3596, 0.8618, 0.1382)
Zn (0.7787, 0.8618, 0.8618)
H (0.1846, 0.5606, 0.4394)
H (0.2548, 0.5606, 0.5606)
H (0.3759, 0.4394, 0.4394)
H (0.1846, 0.4394, 0.5606)
N (0.2500, 0.5000, 0.5000)

=====

First-principles (SCAN) data for a PBEsol-optimized structure of Na3AuO, as listed in Alexandria.

Computed properties:
Crystal system ... cubic
Formation energy (no corrections) ... -970 meV per atom
Symmetry ... Pm-3m
Magnetization ... 0.01 μB/cell
Density ... 4.99 g/cm³

Lattice parameters (Å, degrees): 4.5439 4.5439 4.5439 90.00 90.00 90.00
Sites, in units of the cell vectors:
Na (0.5000, 0.0000, 0.0000)
Na (0.0000, 0.5000, 0.0000)
Na (0.0000, 0.0000, 0.5000)
Au (0.5000, 0.5000, 0.5000)
O (0.0000, 0.0000, 0.0000)

=====

First-principles (SCAN) data for a PBEsol-optimized structure of ScCo2BSb, as listed in Alexandria.

Computed properties:
Crystal system ... tetragonal
Formation energy (no corrections) ... 1522 meV per atom
Symmetry ... P4/mmm
Magnetization ... 3.38 μB/cell
Density ... 4.49 g/cm³

Lattice parameters (Å, degrees): 4.5380 4.5380 5.3078 90.00 90.00 90.00
Last column: magnetic moment on the atom in μB.
Sites, in units of the cell vectors:
Co (0.0000, 0.5000, 0.0000)  1.75
Co (0.5000, 0.0000, 0.0000)  1.75
B (0.5000, 0.5000, 0.5000)  -0.06
Sb (0.0000, 0.0000, 0.0000)  0.00
Sc (0.0000, 0.0000, 0.5000)  0.06

=====

First-principles (SCAN) data for a PBEsol-optimized structure of Ca2AlAs, as listed in Alexandria.

Computed properties:
Crystal system ... orthorhombic
Excess energy over the best structure of this formula in the dataset ... 0 meV/atom
Symmetry ... Amm2
Magnetization ... 0.00 μB/cell
Energy of formation ... -0.758 eV per atom
Density ... 3.05 g/cm³

Lattice parameters (Å, degrees): 3.9970 4.4954 5.9546 112.18 90.00 90.00
Sites, in units of the cell vectors:
Ca (0.0000, 0.9818, 0.9637)
Ca (0.5000, 0.2648, 0.5297)
As (0.5000, 0.5455, 0.0909)
Al (0.0000, 0.6951, 0.3903)

=====

First-principles (SCAN) data for a PBEsol-optimized structure of Zr3Te, as listed in Alexandria.

Computed properties:
Crystal system ... tetragonal
Formation energy (no corrections) ... -582 meV per atom
Symmetry ... I-4
Magnetization ... 0.00 μB/cell
Density ... 7.52 g/cm³

Lattice parameters (Å, degrees): 5.5951 8.4359 8.4359 83.69 70.63 70.63
Sites, in units of the cell vectors:
Te (0.7649, 0.6805, 0.7432)
Te (0.5546, 0.2568, 0.6805)
Te (0.1886, 0.3195, 0.2568)
Te (0.4919, 0.7432, 0.3195)
Zr (0.8904, 0.9788, 0.8149)
Zr (0.6193, 0.3774, 0.3399)
Zr (0.0033, 0.6601, 0.3774)
Zr (0.3366, 0.6226, 0.6601)
Zr (0.0408, 0.3399, 0.6226)
Zr (0.0182, 0.0301, 0.4048)
Zr (0.2947, 0.8149, 0.0212)
Zr (0.6841, 0.0212, 0.1851)
Zr (0.4531, 0.9699, 0.5952)
Zr (0.5769, 0.4048, 0.9699)
Zr (0.1308, 0.1851, 0.9788)
Zr (0.9517, 0.5952, 0.0301)

=====

First-principles (SCAN) data for a PBEsol-optimized structure of NaMnH3C3O6, as listed in Alexandria.

Computed properties:
Crystal system ... cubic
Symmetry ... P2_13
E ... -472.88 eV/cell
Magnetization ... 20.00 μB/cell
Density ... 1.85 g/cm³

Lattice parameters (Å, degrees): 9.1495 9.1495 9.1495 90.00 90.00 90.00
Last column: magnetic moment on the atom in μB.
Sites, in units of the cell vectors:
C (0.3628, 0.4599, 0.7616)  0.01
C (0.4599, 0.7616, 0.3628)  0.01
C (0.8628, 0.0401, 0.2384)  0.01
C (0.2384, 0.8628, 0.0401)  0.01
C (0.2616, 0.1372, 0.5401)  0.01
C (0.7616, 0.3628, 0.4599)  0.01
C (0.9599, 0.7384, 0.6372)  0.01
C (0.1372, 0.5401, 0.2616)  0.01
C (0.5401, 0.2616, 0.1372)  0.01
C (0.6372, 0.9599, 0.7384)  0.01
C (0.0401, 0.2384, 0.8628)  0.01
C (0.7384, 0.6372, 0.9599)  0.01
H (0.2053, 0.7453, 0.0383)  0.00
H (0.7547, 0.9617, 0.7053)  0.00
H (0.7947, 0.2453, 0.4617)  0.00
H (0.5383, 0.2947, 0.2547)  0.00
H (0.4617, 0.7947, 0.2453)  0.00
H (0.2453, 0.4617, 0.7947)  0.00
H (0.2547, 0.5383, 0.2947)  0.00
H (0.9617, 0.7053, 0.7547)  0.00
H (0.7453, 0.0383, 0.2053)  0.00
H (0.2947, 0.2547, 0.5383)  0.00
H (0.7053, 0.7547, 0.9617)  0.00
H (0.0383, 0.2053, 0.7453)  0.00
Mn (0.8684, 0.3684, 0.1316)  4.59
Mn (0.3684, 0.1316, 0.8684)  4.59
Mn (0.6316, 0.6316, 0.6316)  4.59
Mn (0.1316, 0.8684, 0.3684)  4.59
O (0.3438, 0.7845, 0.4336)  0.03
O (0.2959, 0.9128, 0.9246)  0.02
O (0.7959, 0.5872, 0.0754)  0.02
O (0.2845, 0.0664, 0.6562)  0.03
O (0.4128, 0.5754, 0.7041)  0.02
O (0.0664, 0.6562, 0.2845)  0.03
O (0.6562, 0.2845, 0.0664)  0.03
O (0.2041, 0.0872, 0.4246)  0.02
O (0.7041, 0.4128, 0.5754)  0.02
O (0.7845, 0.4336, 0.3438)  0.03
O (0.9128, 0.9246, 0.2959)  0.02
O (0.5754, 0.7041, 0.4128)  0.02
O (0.0754, 0.7959, 0.5872)  0.02
O (0.0872, 0.4246, 0.2041)  0.02
O (0.9336, 0.1562, 0.2155)  0.03
O (0.5872, 0.0754, 0.7959)  0.02
O (0.8438, 0.7155, 0.5664)  0.03
O (0.1562, 0.2155, 0.9336)  0.03
O (0.7155, 0.5664, 0.8438)  0.03
O (0.5664, 0.8438, 0.7155)  0.03
O (0.2155, 0.9336, 0.1562)  0.03
O (0.4246, 0.2041, 0.0872)  0.02
O (0.9246, 0.2959, 0.9128)  0.02
O (0.4336, 0.3438, 0.7845)  0.03
Na (0.1883, 0.1883, 0.1883)  0.00
Na (0.3117, 0.8117, 0.6883)  0.00
Na (0.6883, 0.3117, 0.8117)  0.00
Na (0.8117, 0.6883, 0.3117)  0.00